Material: DyMg2GaPd2
Method: DFT, PBE
State: optimized geometry

Results
Space-group type: I4/mmm, No. 139
DFT total energy in eV per cell: -23.14
Formation energy in meV per atom: -323
Volume in Å³ per atom: 22.883

Cell: 6.358 6.358 6.358 Å, 132.45 132.45 69.52°
Fractional positions:
Dy1 0.000 0.000 0.000
Mg1 0.250 0.750 0.500
Mg2 0.750 0.250 0.500
Ga1 0.500 0.500 0.000
Pd1 0.269 0.269 0.000
Pd2 0.731 0.731 0.000


Material: Mg2BiBr
Method: DFT, PBE
State: optimized geometry

Results
Space-group type: Cm, No. 8
Energy relative to the elements, uncorrected in kJ/mol of atoms: -57.3
DFT total energy in eV per cell: -22.24
Volume in Å³ per atom: 31.201

Cell: 8.390 8.390 7.559 Å, 115.89 115.89 31.77°
Fractional positions:
Mg1 0.000 0.000 0.000
Mg2 0.217 0.217 0.503
Mg3 0.559 0.559 0.544
Mg4 0.838 0.838 0.419
Bi1 0.421 0.421 0.691
Bi2 0.628 0.628 0.244
Br1 0.149 0.149 0.759
Br2 0.871 0.871 0.117